! GGA-PBE PmGa2SiOs2, relaxed; values from VASP
! * formation energy without anion corrections: -0.149 eV/atom
! * volume: 18.8 Å³/atom
! * symmetry: P4/mmm, No. 123
! * total moment: 0.00 μB per formula unit
&SYSTEM
  ibrav = 0, nat = 6, ntyp = 4
/
ATOMIC_SPECIES
Pm 145.00 Pm.upf
Ga 69.72 Ga.upf
Si 28.09 Si.upf
Os 190.23 Os.upf
ATOMIC_POSITIONS angstrom
Pm 0.000 0.000 0.000
Ga 2.234 2.234 1.288
Ga 2.234 2.234 4.371
Si 0.000 0.000 2.829
Os 0.000 2.234 2.829
Os 2.234 0.000 2.829
CELL_PARAMETERS angstrom
4.468 0.000 0.000
0.000 4.468 0.000
0.000 0.000 5.658

! GGA-PBE LiPrBiSe3, relaxed; values from VASP
! * formation energy without anion corrections: -1.052 eV/atom
! * volume: 28.2 Å³/atom
! * symmetry: P2_1/m, No. 11
! * total moment: 0.00 μB per formula unit
&SYSTEM
  ibrav = 0, nat = 12, ntyp = 4
/
ATOMIC_SPECIES
Li 6.94 Li.upf
Pr 140.91 Pr.upf
Bi 208.98 Bi.upf
Se 78.96 Se.upf
ATOMIC_POSITIONS angstrom
Li 0.687 0.987 0.813
Li 6.857 2.961 8.681
Pr 1.342 2.961 7.913
Pr 6.203 0.987 1.580
Bi 2.450 2.961 3.155
Bi 5.094 0.987 6.339
Se -0.933 0.987 7.674
Se 2.397 0.987 5.816
Se 3.209 0.987 0.738
Se 4.335 2.961 8.756
Se 5.148 2.961 3.677
Se 8.477 2.961 1.819
CELL_PARAMETERS angstrom
9.016 0.000 0.000
0.000 3.948 0.000
-1.472 0.000 9.493

! GGA-PBE LaGa2Ni, relaxed; values from VASP
! * DFT formation energy: -317 meV/atom
! * volume: 22.6 Å³/atom
! * symmetry: I-42d, No. 122
! * total moment: 0.00 μB per formula unit
&SYSTEM
  ibrav = 0, nat = 8, ntyp = 3
/
ATOMIC_SPECIES
La 138.91 La.upf
Ga 69.72 Ga.upf
Ni 58.69 Ni.upf
ATOMIC_POSITIONS angstrom
La 0.000 0.000 0.000
La 0.000 2.346 4.102
Ga 1.173 -0.250 6.153
Ga 2.095 1.173 2.051
Ga 1.173 2.596 -2.051
Ga 0.250 1.173 10.255
Ni 2.346 0.000 4.102
Ni 0.000 0.000 8.204
CELL_PARAMETERS angstrom
-2.346 2.346 8.204
2.346 -2.346 8.204
2.346 2.346 -8.204

! GGA-PBE ZnIr2Pb, relaxed; values from VASP
! * DFT formation energy: 292 meV/atom
! * volume: 18.6 Å³/atom
! * symmetry: P4mm, No. 99
! * total moment: 0.00 μB per formula unit
! * ΔE to the lowest computed polymorph: 76.5 meV per atom
&SYSTEM
  ibrav = 0, nat = 4, ntyp = 3
/
ATOMIC_SPECIES
Zn 65.41 Zn.upf
Ir 192.22 Ir.upf
Pb 207.20 Pb.upf
ATOMIC_POSITIONS angstrom
Zn 0.000 0.000 0.000
Ir 0.000 0.000 3.284
Ir 1.493 1.493 1.544
Pb 1.493 1.493 5.416
CELL_PARAMETERS angstrom
2.985 0.000 0.000
0.000 2.985 0.000
0.000 0.000 8.356

! GGA-PBE TiNbFe, relaxed; values from VASP
! * DFT formation energy: 127 meV/atom
! * volume: 16.8 Å³/atom
! * symmetry: R3m, No. 160
! * total moment: 0.00 μB per formula unit
! * ΔE to the lowest computed polymorph: 141.0 meV per atom
&SYSTEM
  ibrav = 0, nat = 3, ntyp = 3
/
ATOMIC_SPECIES
Ti 47.87 Ti.upf
Nb 92.91 Nb.upf
Fe 55.84 Fe.upf
ATOMIC_POSITIONS angstrom
Ti 0.000 0.000 0.000
Nb 0.000 0.000 5.601
Fe 0.000 0.000 8.376
CELL_PARAMETERS angstrom
1.975 1.140 3.732
-1.975 1.140 3.732
0.000 -2.281 3.732

! GGA-PBE Cd3PtCl, relaxed; values from VASP
! * formation energy without anion corrections: 0.719 eV/atom
! * volume: 26.5 Å³/atom
! * symmetry: Pm-3m, No. 221
! * total moment: 0.00 μB per formula unit
! * ΔE to the lowest computed polymorph: 926.2 meV per atom
&SYSTEM
  ibrav = 0, nat = 5, ntyp = 3
/
ATOMIC_SPECIES
Cd 112.41 Cd.upf
Pt 195.08 Pt.upf
Cl 35.45 Cl.upf
ATOMIC_POSITIONS angstrom
Cd 0.000 0.000 2.549
Cd 0.000 2.549 0.000
Cd 2.549 0.000 0.000
Pt 2.549 2.549 2.549
Cl 0.000 0.000 0.000
CELL_PARAMETERS angstrom
5.097 0.000 0.000
0.000 5.097 0.000
0.000 0.000 5.097

! GGA-PBE Na6ZnSn, relaxed; values from VASP
! * DFT formation energy: -24 meV/atom
! * volume: 28.8 Å³/atom
! * symmetry: P-1, No. 2
! * total moment: 0.00 μB per formula unit
&SYSTEM
  ibrav = 0, nat = 8, ntyp = 3
/
ATOMIC_SPECIES
Na 22.99 Na.upf
Zn 65.41 Zn.upf
Sn 118.71 Sn.upf
ATOMIC_POSITIONS angstrom
Na -0.010 -0.014 1.517
Na 1.434 2.956 6.147
Na 2.986 1.457 3.093
Na 2.982 4.562 3.065
Na 4.535 3.062 0.011
Na 5.978 6.032 4.641
Zn -0.072 3.009 3.079
Sn 3.056 0.000 0.000
CELL_PARAMETERS angstrom
6.113 0.000 0.000
-0.048 6.119 0.000
-0.097 -0.100 6.158

! GGA-PBE PmPr4Sm10, relaxed; values from VASP
! * DFT formation energy: 307 meV/atom
! * volume: 35.1 Å³/atom
! * symmetry: I4/m, No. 87
! * total moment: 0.00 μB per formula unit
&SYSTEM
  ibrav = 0, nat = 15, ntyp = 3
/
ATOMIC_SPECIES
Pm 145.00 Pm.upf
Pr 140.91 Pr.upf
Sm 150.36 Sm.upf
ATOMIC_POSITIONS angstrom
Pm 0.000 0.000 0.000
Pr 6.641 0.587 0.000
Pr 0.587 3.262 0.000
Pr 4.365 1.689 5.364
Pr -1.689 4.365 5.364
Sm 3.803 2.897 -1.711
Sm 2.055 -1.149 3.653
Sm 4.952 0.000 2.682
Sm 3.803 2.897 1.711
Sm 2.897 6.101 -1.711
Sm 2.055 -1.149 7.075
Sm 1.149 2.055 3.653
Sm 0.000 4.952 2.682
Sm 2.897 6.101 1.711
Sm 1.149 2.055 7.075
CELL_PARAMETERS angstrom
-4.952 4.952 5.364
4.952 -4.952 5.364
4.952 4.952 -5.364

! GGA-PBE V5Os4Ru, relaxed; values from VASP
! * DFT formation energy: -233 meV/atom
! * volume: 13.8 Å³/atom
! * symmetry: P4/mmm, No. 123
! * total moment: 1.52 μB per formula unit
&SYSTEM
  ibrav = 0, nat = 10, ntyp = 3
/
ATOMIC_SPECIES
V 50.94 V.upf
Os 190.23 Os.upf
Ru 101.07 Ru.upf
ATOMIC_POSITIONS angstrom
V 0.000 0.000 0.000
V 0.000 0.000 3.039
V 0.000 0.000 6.063
V 0.000 0.000 9.097
V 0.000 0.000 12.121
Os 1.507 1.507 1.519
Os 1.507 1.507 4.568
Os 1.507 1.507 10.592
Os 1.507 1.507 13.641
Ru 1.507 1.507 7.580
CELL_PARAMETERS angstrom
3.014 0.000 0.000
0.000 3.014 0.000
0.000 0.000 15.160

! GGA-PBE RbNa2ZnCd, relaxed; values from VASP
! * DFT formation energy: 77 meV/atom
! * volume: 38.0 Å³/atom
! * symmetry: P4/mmm, No. 123
! * total moment: 0.00 μB per formula unit
! * ΔE to the lowest computed polymorph: 23.7 meV per atom
&SYSTEM
  ibrav = 0, nat = 5, ntyp = 4
/
ATOMIC_SPECIES
Rb 85.47 Rb.upf
Na 22.99 Na.upf
Zn 65.41 Zn.upf
Cd 112.41 Cd.upf
ATOMIC_POSITIONS angstrom
Rb 0.000 0.000 0.000
Na 0.000 3.031 2.587
Na 3.031 0.000 2.587
Zn 3.031 3.031 0.000
Cd 3.031 3.031 2.587
CELL_PARAMETERS angstrom
6.062 0.000 0.000
0.000 6.062 0.000
0.000 0.000 5.173

What is the volume in the seventh record?
28.8 Å³/atom